MgTaRu2, relaxed, DFT PBE; density of states at the Fermi level = 1.0269 states/eV/atom; size of the total moment = 0.00 Bohr magnetons per cell; ΔE_f = 386 meV per atom; calculated volume = 17.49 Å³/atom
1.0
-2.520 -4.449 4.706
6.295 -2.870 0.657
2.522 -1.782 4.796
Mg Ru Ta
2 4 2
direct
0.500 0.500 0.000 Mg
0.250 0.750 0.500 Mg
0.375 0.352 0.750 Ru
0.648 0.125 0.250 Ru
0.102 0.625 0.250 Ru
0.875 0.898 0.750 Ru
0.000 0.000 0.000 Ta
0.750 0.250 0.500 Ta